Entry 1:
! Ti2VSi (PBE, relaxed); values from VASP
&SYSTEM
  ibrav = 0, nat = 12, ntyp = 3
/
ATOMIC_SPECIES
Ti 47.87 Ti.upf
V 50.94 V.upf
Si 28.09 Si.upf
CELL_PARAMETERS angstrom
2.754 0.000 0.000
-1.377 2.385 0.000
0.000 0.000 28.147
ATOMIC_POSITIONS crystal
Ti 0.000 0.000 0.089
Ti 0.000 0.000 0.911
Ti 0.333 0.667 0.578
Ti 0.333 0.667 0.756
Ti 0.667 0.333 0.244
Ti 0.667 0.333 0.422
V 0.000 0.000 0.000
V 0.333 0.667 0.667
V 0.667 0.333 0.333
Si 0.000 0.000 0.500
Si 0.333 0.667 0.167
Si 0.667 0.333 0.833
! Total magnetic moment in μB per cell: 0.173
! Energy relative to the elements, uncorrected in eV/atom: 0.10
! Crystal system: trigonal
! DFT total energy in eV per atom: -7.482

Entry 2:
! Ti8VSi2 (PBE, relaxed); values from VASP
&SYSTEM
  ibrav = 0, nat = 11, ntyp = 3
/
ATOMIC_SPECIES
Ti 47.87 Ti.upf
V 50.94 V.upf
Si 28.09 Si.upf
CELL_PARAMETERS angstrom
7.247 -1.992 0.000
7.247 1.992 0.000
-2.930 0.000 6.143
ATOMIC_POSITIONS crystal
Ti 0.035 0.035 0.290
Ti 0.176 0.176 0.767
Ti 0.325 0.325 0.582
Ti 0.413 0.413 0.048
Ti 0.587 0.587 0.952
Ti 0.675 0.675 0.418
Ti 0.824 0.824 0.233
Ti 0.965 0.965 0.710
V 0.500 0.500 0.500
Si 0.194 0.194 0.170
Si 0.806 0.806 0.830
! Total magnetic moment in μB per cell: 0.000
! Energy relative to the elements, uncorrected in eV/atom: -0.28
! Crystal system: monoclinic
! DFT total energy in eV per atom: -7.832

Entry 3:
! Ti2VSi (PBE, relaxed); values from VASP
&SYSTEM
  ibrav = 0, nat = 4, ntyp = 3
/
ATOMIC_SPECIES
Ti 47.87 Ti.upf
V 50.94 V.upf
Si 28.09 Si.upf
CELL_PARAMETERS angstrom
3.243 0.000 0.000
0.000 3.243 0.000
0.000 0.000 5.644
ATOMIC_POSITIONS crystal
Ti 0.000 0.000 0.249
Ti 0.000 0.000 0.751
V 0.500 0.500 0.500
Si 0.500 0.500 0.000
! Total magnetic moment in μB per cell: 0.000
! Energy relative to the elements, uncorrected in eV/atom: -0.38
! Crystal system: tetragonal
! DFT total energy in eV per atom: -7.967

Entry 4:
! Ti3V2Si (PBE, relaxed); values from VASP
&SYSTEM
  ibrav = 0, nat = 6, ntyp = 3
/
ATOMIC_SPECIES
Ti 47.87 Ti.upf
V 50.94 V.upf
Si 28.09 Si.upf
CELL_PARAMETERS angstrom
4.415 0.000 0.000
-2.208 3.824 0.000
0.000 0.000 5.264
ATOMIC_POSITIONS crystal
Ti 0.000 0.000 0.000
Ti 0.333 0.667 0.712
Ti 0.667 0.333 0.288
V 0.333 0.667 0.207
V 0.667 0.333 0.793
Si 0.000 0.000 0.500
! Total magnetic moment in μB per cell: 0.006
! Energy relative to the elements, uncorrected in eV/atom: -0.19
! Crystal system: trigonal
! DFT total energy in eV per atom: -8.078

Entry 5:
! TiVSi2 (PBE, relaxed); values from VASP
&SYSTEM
  ibrav = 0, nat = 16, ntyp = 3
/
ATOMIC_SPECIES
Ti 47.87 Ti.upf
V 50.94 V.upf
Si 28.09 Si.upf
CELL_PARAMETERS angstrom
6.097 0.000 0.000
0.000 6.097 0.000
0.000 0.000 6.097
ATOMIC_POSITIONS crystal
Ti 0.000 0.000 0.000
Ti 0.000 0.500 0.500
Ti 0.500 0.000 0.500
Ti 0.500 0.500 0.000
V 0.000 0.000 0.500
V 0.000 0.500 0.000
V 0.500 0.000 0.000
V 0.500 0.500 0.500
Si 0.250 0.250 0.250
Si 0.250 0.250 0.750
Si 0.250 0.750 0.250
Si 0.250 0.750 0.750
Si 0.750 0.250 0.250
Si 0.750 0.250 0.750
Si 0.750 0.750 0.250
Si 0.750 0.750 0.750
! Excess energy over the best structure of this formula in the dataset in meV per atom: 220
! Total magnetic moment in μB per cell: 3.311
! Energy relative to the elements, uncorrected in eV/atom: -0.19
! Crystal system: cubic
! DFT total energy in eV per atom: -7.159

Entry 6:
! Ti5V5Si6 (PBE, relaxed); values from VASP
&SYSTEM
  ibrav = 0, nat = 16, ntyp = 3
/
ATOMIC_SPECIES
Ti 47.87 Ti.upf
V 50.94 V.upf
Si 28.09 Si.upf
CELL_PARAMETERS angstrom
4.920 0.000 0.000
0.000 6.253 3.692
0.000 -6.253 3.692
ATOMIC_POSITIONS crystal
Ti 0.000 0.000 0.000
Ti 0.000 0.509 0.747
Ti 0.000 0.747 0.509
Ti 0.500 0.746 0.987
Ti 0.500 0.987 0.746
V 0.250 0.079 0.414
V 0.250 0.414 0.079
V 0.500 0.486 0.486
V 0.750 0.079 0.414
V 0.750 0.414 0.079
Si 0.000 0.148 0.747
Si 0.000 0.349 0.349
Si 0.000 0.747 0.148
Si 0.500 0.146 0.146
Si 0.500 0.348 0.744
Si 0.500 0.744 0.348
! Total magnetic moment in μB per cell: 0.004
! Energy relative to the elements, uncorrected in eV/atom: -0.71
! Crystal system: orthorhombic
! DFT total energy in eV per atom: -8.064

Entry 7:
! Ti2VSi6 (PBE, relaxed); values from VASP
&SYSTEM
  ibrav = 0, nat = 9, ntyp = 3
/
ATOMIC_SPECIES
Ti 47.87 Ti.upf
V 50.94 V.upf
Si 28.09 Si.upf
CELL_PARAMETERS angstrom
2.331 -4.060 0.000
2.331 4.060 0.000
0.000 0.000 6.503
ATOMIC_POSITIONS crystal
Ti 0.000 0.500 0.166
Ti 0.500 0.000 0.834
V 0.000 0.000 0.500
Si 0.178 0.337 0.830
Si 0.335 0.665 0.500
Si 0.337 0.178 0.170
Si 0.663 0.822 0.170
Si 0.665 0.335 0.500
Si 0.822 0.663 0.830
! Total magnetic moment in μB per cell: 0.000
! Energy relative to the elements, uncorrected in eV/atom: -0.52
! Crystal system: orthorhombic
! DFT total energy in eV per atom: -6.906

Entry 8:
! TiV4Si2 (PBE, relaxed); values from VASP
&SYSTEM
  ibrav = 0, nat = 14, ntyp = 3
/
ATOMIC_SPECIES
Ti 47.87 Ti.upf
V 50.94 V.upf
Si 28.09 Si.upf
CELL_PARAMETERS angstrom
6.555 0.000 0.000
0.000 4.917 0.000
-2.949 0.000 5.997
ATOMIC_POSITIONS crystal
Ti 0.193 0.250 0.275
Ti 0.807 0.750 0.725
V 0.022 0.250 0.550
V 0.281 0.503 0.928
V 0.281 0.997 0.928
V 0.375 0.750 0.594
V 0.625 0.250 0.406
V 0.719 0.003 0.072
V 0.719 0.497 0.072
V 0.978 0.750 0.450
Si 0.097 0.750 0.151
Si 0.465 0.250 0.707
Si 0.535 0.750 0.293
Si 0.903 0.250 0.849
! Total magnetic moment in μB per cell: 0.000
! Energy relative to the elements, uncorrected in eV/atom: -0.30
! Crystal system: monoclinic
! DFT total energy in eV per atom: -8.185